#a
The following is a DFT calculation (PBE) of an optimized crystal structure of Li3NbN.

a b c (Å): 5.013 5.013 5.013
angles (deg): 90.00 90.00 90.00
Last column: magnetic moment on the atom in μB.
Fractional positions:
Li: 0.000 0.000 0.500  0.04
Li: 0.000 0.500 0.000  0.05
N: 0.500 0.500 0.500  0.31
Li: 0.500 0.000 0.000  0.06
Nb: 0.000 0.000 0.000  3.40

space group: No. 221
size of the total moment: 1.09 μB per atom

***

#b
The following is a DFT calculation (PBE) of an optimized crystal structure of Li3NbN.

a b c (Å): 3.958 3.958 3.958
angles (deg): 90.00 90.00 90.00
Last column: magnetic moment on the atom in μB.
Fractional positions:
Nb: 0.500 0.500 0.500  1.70
Li: 0.000 0.000 0.500  0.02
N: 0.000 0.000 0.000  -0.10
Li: 0.500 0.000 0.000  0.01
Li: 0.000 0.500 0.000  0.01

space group: No. 221
size of the total moment: 0.45 μB per atom

***

How do the energies compare? Relative to the most stable structure, in meV/atom: #a 1665; #b 0.

***

#a
The following is a DFT calculation (PBE) of an optimized crystal structure of LiNbS2N.

a b c (Å): 4.416 4.416 3.428
angles (deg): 90.00 90.00 90.00
Last column: magnetic moment on the atom in μB.
Fractional positions:
S: 0.500 0.000 0.000  0.03
Nb: 0.500 0.500 0.500  0.13
Li: 0.000 0.000 0.000  0.02
N: 0.000 0.000 0.500  0.28
S: 0.000 0.500 0.000  0.03

space group: No. 123
size of the total moment: 0.12 μB per atom

***

#b
The following is a DFT calculation (PBE) of an optimized crystal structure of LiNbS2N.

a b c (Å): 4.906 4.906 4.014
angles (deg): 90.00 90.00 90.00
Last column: magnetic moment on the atom in μB.
Fractional positions:
S: 0.500 0.000 0.000  0.18
Nb: 0.000 0.000 0.000  -0.14
S: 0.000 0.500 0.000  0.18
N: 0.000 0.000 0.500  0.48
Li: 0.500 0.500 0.500  0.00

space group: No. 123
size of the total moment: 0.21 μB per atom

***

#c
The following is a DFT calculation (PBE) of an optimized crystal structure of LiNbS2N.

a b c (Å): 4.352 3.459 4.352
angles (deg): 90.00 90.00 90.00
Last column: magnetic moment on the atom in μB.
Fractional positions:
N: 0.000 0.000 0.000  0.09
Li: 0.000 0.500 0.000  0.01
S: 0.500 0.000 0.000  -0.07
S: 0.000 0.000 0.500  -0.05
Nb: 0.500 0.500 0.500  1.21

space group: No. 123
size of the total moment: 0.29 μB per atom

***

How do the energies compare? Relative to the most stable structure, in meV/atom: #a 1050; #b 0; #c 700.

***

#a
The following is a DFT calculation (PBE) of an optimized crystal structure of LiNbSN2.

a b c (Å): 4.039 4.039 5.058
angles (deg): 90.00 90.00 90.00
Last column: magnetic moment on the atom in μB.
Fractional positions:
Li: 0.500 0.500 0.500  0.00
Nb: 0.000 0.000 0.000  -0.15
N: 0.000 0.500 0.000  0.55
S: 0.000 0.000 0.500  0.20
N: 0.500 0.000 0.000  0.55

space group: No. 123
size of the total moment: 0.34 μB per atom

***

#b
The following is a DFT calculation (PBE) of an optimized crystal structure of LiNbSN2.

a b c (Å): 3.632 3.632 4.231
angles (deg): 90.00 90.00 90.00
Fractional positions:
Nb: 0.500 0.500 0.500
N: 0.000 0.500 0.000
Li: 0.000 0.000 0.000
N: 0.500 0.000 0.000
S: 0.000 0.000 0.500

space group: No. 123
size of the total moment: 0.00 μB per atom

***

How do the energies compare? Relative to the most stable structure, in meV/atom: #a 0; #b 1135.

***

#a
The following is a DFT calculation (PBE) of an optimized crystal structure of LiNbSeN2.

a b c (Å): 4.017 4.017 5.413
angles (deg): 90.00 90.00 90.00
Last column: magnetic moment on the atom in μB.
Fractional positions:
Se: 0.000 0.000 0.500  0.10
N: 0.000 0.500 0.000  0.36
N: 0.500 0.000 0.000  0.36
Nb: 0.000 0.000 0.000  -0.10
Li: 0.500 0.500 0.500  0.00

space group: No. 123
size of the total moment: 0.21 μB per atom

***

#b
The following is a DFT calculation (PBE) of an optimized crystal structure of LiNbSeN2.

a b c (Å): 3.749 3.749 4.344
angles (deg): 90.00 90.00 90.00
Fractional positions:
Nb: 0.500 0.500 0.500
N: 0.000 0.500 0.000
Li: 0.000 0.000 0.000
N: 0.500 0.000 0.000
Se: 0.000 0.000 0.500

space group: No. 123
size of the total moment: 0.00 μB per atom

***

How do the energies compare? Relative to the most stable structure, in meV/atom: #a 0; #b 1263.

***

#a
The following is a DFT calculation (PBE) of an optimized crystal structure of LiNi2RhN.

a b c (Å): 3.738 3.738 4.044
angles (deg): 90.00 90.00 90.00
Fractional positions:
Li: 0.500 0.500 0.500
Ni: 0.000 0.500 0.000
N: 0.000 0.000 0.000
Ni: 0.500 0.000 0.000
Rh: 0.000 0.000 0.500

space group: No. 123
size of the total moment: 0.00 μB per atom

***

#b
The following is a DFT calculation (PBE) of an optimized crystal structure of LiNi2RhN.

a b c (Å): 3.690 3.690 3.946
angles (deg): 90.00 90.00 90.00
Fractional positions:
Li: 0.000 0.000 0.500
Ni: 0.500 0.000 0.000
Rh: 0.500 0.500 0.500
Ni: 0.000 0.500 0.000
N: 0.000 0.000 0.000

space group: No. 123
size of the total moment: 0.00 μB per atom

***

How do the energies compare? Relative to the most stable structure, in meV/atom: #a 0; #b 113.

***

#a
The following is a DFT calculation (PBE) of an optimized crystal structure of LiNiSN2.

a b c (Å): 3.611 3.611 4.979
angles (deg): 90.00 90.00 90.00
Last column: magnetic moment on the atom in μB.
Fractional positions:
S: 0.000 0.000 0.500  0.10
N: 0.000 0.500 0.000  0.41
Ni: 0.000 0.000 0.000  0.19
Li: 0.500 0.500 0.500  0.00
N: 0.500 0.000 0.000  0.41

space group: No. 123
size of the total moment: 0.29 μB per atom

***

#b
The following is a DFT calculation (PBE) of an optimized crystal structure of LiNiSN2.

a b c (Å): 3.466 3.466 4.754
angles (deg): 90.00 90.00 90.00
Last column: magnetic moment on the atom in μB.
Fractional positions:
N: 0.000 0.500 0.000  0.46
Ni: 0.500 0.500 0.500  0.06
N: 0.500 0.000 0.000  0.46
Li: 0.000 0.000 0.000  0.00
S: 0.000 0.000 0.500  0.07

space group: No. 123
size of the total moment: 0.28 μB per atom

***

How do the energies compare? Relative to the most stable structure, in meV/atom: #a 0; #b 873.

***

#a
The following is a DFT calculation (PBE) of an optimized crystal structure of LiNiS2N.

a b c (Å): 4.397 4.397 3.403
angles (deg): 90.00 90.00 90.00
Last column: magnetic moment on the atom in μB.
Fractional positions:
Li: 0.000 0.000 0.000  0.00
S: 0.000 0.500 0.000  0.03
S: 0.500 0.000 0.000  0.03
Ni: 0.500 0.500 0.500  0.43
N: 0.000 0.000 0.500  0.28

space group: No. 123
size of the total moment: 0.18 μB per atom

***

#b
The following is a DFT calculation (PBE) of an optimized crystal structure of LiNiS2N.

a b c (Å): 4.786 4.786 3.380
angles (deg): 90.00 90.00 90.00
Fractional positions:
Li: 0.500 0.500 0.500
S: 0.000 0.500 0.000
S: 0.500 0.000 0.000
N: 0.000 0.000 0.500
Ni: 0.000 0.000 0.000

space group: No. 123
size of the total moment: 0.00 μB per atom

***

How do the energies compare? Relative to the most stable structure, in meV/atom: #a 920; #b 0.

***

#a
The following is a DFT calculation (PBE) of an optimized crystal structure of LiNiTeN2.

a b c (Å): 3.770 3.770 5.525
angles (deg): 90.00 90.00 90.00
Last column: magnetic moment on the atom in μB.
Fractional positions:
Ni: 0.000 0.000 0.000  0.59
N: 0.500 0.000 0.000  0.98
N: 0.000 0.500 0.000  0.98
Li: 0.500 0.500 0.500  0.01
Te: 0.000 0.000 0.500  0.02

space group: No. 123
size of the total moment: 0.68 μB per atom

***

#b
The following is a DFT calculation (PBE) of an optimized crystal structure of LiNiTeN2.

a b c (Å): 3.683 3.683 4.918
angles (deg): 90.00 90.00 90.00
Fractional positions:
N: 0.500 0.000 0.000
Li: 0.000 0.000 0.000
Te: 0.000 0.000 0.500
N: 0.000 0.500 0.000
Ni: 0.500 0.500 0.500

space group: No. 123
size of the total moment: 0.00 μB per atom

***

How do the energies compare? Relative to the most stable structure, in meV/atom: #a 0; #b 802.